# 1
# Zr2CdRu GGA-PBEsol relaxed
data_Zr2CdRu
_chemical_formula_sum 'Zr2 Cd1 Ru1'
_cell_length_a 5.7152
_cell_length_b 5.7152
_cell_length_c 5.7152
_cell_angle_alpha 146.56
_cell_angle_beta 131.62
_cell_angle_gamma 60.08
_symmetry_space_group_name_H-M 'P 1'
_symmetry_Int_Tables_number 1
loop_
_symmetry_equiv_pos_as_xyz
'x,y,z'
loop_
_atom_site_label
_atom_site_type_symbol
_atom_site_fract_x
_atom_site_fract_y
_atom_site_fract_z
Zr1 Zr 0.0000 0.0000 0.0000
Zr2 Zr 0.7221 0.2221 0.5000
Cd1 Cd 0.4432 0.4432 0.0000
Ru1 Ru 0.2101 0.7101 0.5000
# Space group ... No. 44
# Energy of formation from the pure elements ... -63 kJ/mol of formula units
# Total DFT energy (no corrections) ... -7.55 eV per atom



# 2
# Na2In GGA-PBEsol relaxed
data_Na2In
_chemical_formula_sum 'Na16 In8'
_cell_length_a 8.0908
_cell_length_b 8.0908
_cell_length_c 11.5551
_cell_angle_alpha 90.00
_cell_angle_beta 90.00
_cell_angle_gamma 115.13
_symmetry_space_group_name_H-M 'P 1'
_symmetry_Int_Tables_number 1
loop_
_symmetry_equiv_pos_as_xyz
'x,y,z'
loop_
_atom_site_label
_atom_site_type_symbol
_atom_site_fract_x
_atom_site_fract_y
_atom_site_fract_z
Na1 Na 0.0500 0.7778 0.0821
Na2 Na 0.0672 0.9328 0.7500
Na3 Na 0.1070 0.5041 0.3297
Na4 Na 0.1535 0.3983 0.0420
Na5 Na 0.2222 0.9500 0.4179
Na6 Na 0.3983 0.1535 0.9580
Na7 Na 0.4067 0.4067 0.5000
Na8 Na 0.4959 0.8930 0.1703
Na9 Na 0.5041 0.1070 0.6703
Na10 Na 0.5933 0.5933 0.0000
Na11 Na 0.6017 0.8465 0.4580
Na12 Na 0.7778 0.0500 0.9179
Na13 Na 0.8465 0.6017 0.5420
Na14 Na 0.8930 0.4959 0.8297
Na15 Na 0.9328 0.0672 0.2500
Na16 Na 0.9500 0.2222 0.5821
In1 In 0.2425 0.6684 0.6223
In2 In 0.2738 0.3766 0.7762
In3 In 0.3316 0.7575 0.8777
In4 In 0.3766 0.2738 0.2238
In5 In 0.6234 0.7262 0.7238
In6 In 0.6684 0.2425 0.3777
In7 In 0.7262 0.6234 0.2762
In8 In 0.7575 0.3316 0.1223
# Space group ... No. 20
# Energy of formation from the pure elements ... -32 kJ/mol of formula units
# Total DFT energy (no corrections) ... -2.04 eV per atom



total DFT energy (no corrections) of number 2 (Na2In)? -2.04 eV per atom



What is the total DFT energy (no corrections) in the second record? -2.04 eV per atom